Record 1
Below is crystalline Pm2Dy4Tm3 at its relaxed geometry, with properties calculated at the PBE level.

Cell and atoms, written as CIF:
```
data_Pm2Dy4Tm3
_symmetry_space_group_name_H-M 'P 1'
_symmetry_Int_Tables_number 1
_cell_length_a 9.911
_cell_length_b 9.911
_cell_length_c 6.131
_cell_angle_alpha 94.85
_cell_angle_beta 94.85
_cell_angle_gamma 71.58
loop_
_symmetry_equiv_pos_as_xyz
'x,y,z'
loop_
_atom_site_label
_atom_site_fract_x
_atom_site_fract_y
_atom_site_fract_z
Pm1 0.024 0.734 0.679
Pm2 0.266 0.976 0.821
Pm3 0.734 0.024 0.179
Pm4 0.976 0.266 0.321
Dy1 0.076 0.355 0.848
Dy2 0.312 0.594 0.986
Dy3 0.355 0.076 0.348
Dy4 0.406 0.688 0.514
Dy5 0.594 0.312 0.486
Dy6 0.645 0.924 0.652
Dy7 0.688 0.406 0.014
Dy8 0.924 0.645 0.152
Tm1 0.098 0.902 0.250
Tm2 0.237 0.433 0.409
Tm3 0.433 0.237 0.909
Tm4 0.567 0.763 0.091
Tm5 0.763 0.567 0.591
Tm6 0.902 0.098 0.750
```

Record 2
Below is crystalline Pm4Dy3Tm5 at its relaxed geometry, with properties calculated at the PBE level.

Cell and atoms, written as CIF:
```
data_Pm4Dy3Tm5
_symmetry_space_group_name_H-M 'P 1'
_symmetry_Int_Tables_number 1
_cell_length_a 8.520
_cell_length_b 8.520
_cell_length_c 9.324
_cell_angle_alpha 114.98
_cell_angle_beta 114.98
_cell_angle_gamma 40.48
loop_
_symmetry_equiv_pos_as_xyz
'x,y,z'
loop_
_atom_site_label
_atom_site_fract_x
_atom_site_fract_y
_atom_site_fract_z
Pm1 0.085 0.085 0.446
Pm2 0.215 0.215 0.883
Pm3 0.785 0.785 0.117
Pm4 0.915 0.915 0.554
Dy1 0.213 0.213 0.238
Dy2 0.500 0.500 0.000
Dy3 0.787 0.787 0.762
Tm1 0.000 0.000 0.000
Tm2 0.329 0.329 0.618
Tm3 0.430 0.430 0.299
Tm4 0.570 0.570 0.701
Tm5 0.671 0.671 0.382
```

Record 3
Below is crystalline PmDy3Tm3 at its relaxed geometry, with properties calculated at the PBE level.

Cell and atoms, written as CIF:
```
data_PmDy3Tm3
_symmetry_space_group_name_H-M 'P 1'
_symmetry_Int_Tables_number 1
_cell_length_a 9.520
_cell_length_b 9.520
_cell_length_c 5.629
_cell_angle_alpha 90.00
_cell_angle_beta 90.00
_cell_angle_gamma 120.00
loop_
_symmetry_equiv_pos_as_xyz
'x,y,z'
loop_
_atom_site_label
_atom_site_fract_x
_atom_site_fract_y
_atom_site_fract_z
Pm1 0.333 0.667 0.250
Pm2 0.667 0.333 0.750
Dy1 0.049 0.238 0.250
Dy2 0.190 0.951 0.250
Dy3 0.238 0.190 0.750
Dy4 0.762 0.810 0.250
Dy5 0.810 0.049 0.750
Dy6 0.951 0.762 0.750
Tm1 0.096 0.477 0.750
Tm2 0.381 0.904 0.750
Tm3 0.477 0.381 0.250
Tm4 0.523 0.619 0.750
Tm5 0.619 0.096 0.250
Tm6 0.904 0.523 0.250
```

Record 4
Below is crystalline Pm6DyY3Tm2 at its relaxed geometry, with properties calculated at the PBE level.

Cell and atoms, written as CIF:
```
data_Pm6DyY3Tm2
_symmetry_space_group_name_H-M 'P 1'
_symmetry_Int_Tables_number 1
_cell_length_a 6.242
_cell_length_b 6.242
_cell_length_c 11.814
_cell_angle_alpha 95.03
_cell_angle_beta 95.03
_cell_angle_gamma 119.98
loop_
_symmetry_equiv_pos_as_xyz
'x,y,z'
loop_
_atom_site_label
_atom_site_fract_x
_atom_site_fract_y
_atom_site_fract_z
Pm1 0.083 0.417 0.752
Pm2 0.249 0.249 0.248
Pm3 0.417 0.083 0.752
Pm4 0.583 0.917 0.248
Pm5 0.751 0.751 0.752
Pm6 0.917 0.583 0.248
Dy1 0.500 0.500 0.000
Y1 0.000 0.000 0.500
Y2 0.333 0.667 0.500
Y3 0.667 0.333 0.500
Tm1 0.167 0.833 0.000
Tm2 0.833 0.167 0.000
```

Record 5
Below is crystalline Pm2DyY6Tm3 at its relaxed geometry, with properties calculated at the PBE level.

Cell and atoms, written as CIF:
```
data_Pm2DyY6Tm3
_symmetry_space_group_name_H-M 'P 1'
_symmetry_Int_Tables_number 1
_cell_length_a 6.168
_cell_length_b 6.168
_cell_length_c 11.798
_cell_angle_alpha 94.99
_cell_angle_beta 94.99
_cell_angle_gamma 119.95
loop_
_symmetry_equiv_pos_as_xyz
'x,y,z'
loop_
_atom_site_label
_atom_site_fract_x
_atom_site_fract_y
_atom_site_fract_z
Pm1 0.167 0.833 0.000
Pm2 0.833 0.167 0.000
Dy1 0.500 0.500 0.000
Y1 0.082 0.415 0.747
Y2 0.252 0.252 0.253
Y3 0.415 0.082 0.747
Y4 0.585 0.918 0.253
Y5 0.748 0.748 0.747
Y6 0.918 0.585 0.253
Tm1 0.000 0.000 0.500
Tm2 0.333 0.667 0.500
Tm3 0.667 0.333 0.500
```

Record 6
Below is crystalline Pm6DyY2Tm3 at its relaxed geometry, with properties calculated at the PBE level.

Cell and atoms, written as CIF:
```
data_Pm6DyY2Tm3
_symmetry_space_group_name_H-M 'P 1'
_symmetry_Int_Tables_number 1
_cell_length_a 6.231
_cell_length_b 6.231
_cell_length_c 11.782
_cell_angle_alpha 95.04
_cell_angle_beta 95.04
_cell_angle_gamma 119.98
loop_
_symmetry_equiv_pos_as_xyz
'x,y,z'
loop_
_atom_site_label
_atom_site_fract_x
_atom_site_fract_y
_atom_site_fract_z
Pm1 0.084 0.417 0.752
Pm2 0.249 0.249 0.248
Pm3 0.417 0.084 0.752
Pm4 0.583 0.916 0.248
Pm5 0.751 0.751 0.752
Pm6 0.916 0.583 0.248
Dy1 0.000 0.000 0.500
Y1 0.333 0.667 0.500
Y2 0.667 0.333 0.500
Tm1 0.167 0.833 0.000
Tm2 0.500 0.500 0.000
Tm3 0.833 0.167 0.000
```

Record 7
Below is crystalline Pm3DyY2Tm6 at its relaxed geometry, with properties calculated at the PBE level.

Cell and atoms, written as CIF:
```
data_Pm3DyY2Tm6
_symmetry_space_group_name_H-M 'P 1'
_symmetry_Int_Tables_number 1
_cell_length_a 6.151
_cell_length_b 6.151
_cell_length_c 11.704
_cell_angle_alpha 95.01
_cell_angle_beta 95.01
_cell_angle_gamma 119.96
loop_
_symmetry_equiv_pos_as_xyz
'x,y,z'
loop_
_atom_site_label
_atom_site_fract_x
_atom_site_fract_y
_atom_site_fract_z
Pm1 0.000 0.000 0.000
Pm2 0.333 0.667 0.000
Pm3 0.667 0.333 0.000
Dy1 0.500 0.500 0.500
Y1 0.167 0.833 0.500
Y2 0.833 0.167 0.500
Tm1 0.085 0.417 0.252
Tm2 0.250 0.250 0.748
Tm3 0.417 0.085 0.252
Tm4 0.583 0.915 0.748
Tm5 0.750 0.750 0.252
Tm6 0.915 0.583 0.748
```

Record 8
Below is crystalline PmDy2Y2Tm2 at its relaxed geometry, with properties calculated at the PBE level.

Cell and atoms, written as CIF:
```
data_PmDy2Y2Tm2
_symmetry_space_group_name_H-M 'P 1'
_symmetry_Int_Tables_number 1
_cell_length_a 6.148
_cell_length_b 6.148
_cell_length_c 7.943
_cell_angle_alpha 97.50
_cell_angle_beta 97.50
_cell_angle_gamma 48.17
loop_
_symmetry_equiv_pos_as_xyz
'x,y,z'
loop_
_atom_site_label
_atom_site_fract_x
_atom_site_fract_y
_atom_site_fract_z
Pm1 0.000 0.000 0.000
Dy1 0.285 0.285 0.858
Dy2 0.715 0.715 0.142
Y1 0.143 0.143 0.429
Y2 0.857 0.857 0.571
Tm1 0.429 0.429 0.286
Tm2 0.571 0.571 0.714
```

Record 9
Below is crystalline PmDy6Y2Tm at its relaxed geometry, with properties calculated at the PBE level.

Cell and atoms, written as CIF:
```
data_PmDy6Y2Tm
_symmetry_space_group_name_H-M 'P 1'
_symmetry_Int_Tables_number 1
_cell_length_a 8.791
_cell_length_b 8.791
_cell_length_c 9.451
_cell_angle_alpha 93.19
_cell_angle_beta 93.19
_cell_angle_gamma 117.31
loop_
_symmetry_equiv_pos_as_xyz
'x,y,z'
loop_
_atom_site_label
_atom_site_fract_x
_atom_site_fract_y
_atom_site_fract_z
Pm1 0.028 0.972 0.750
Pm2 0.972 0.028 0.250
Dy1 0.014 0.564 0.685
Dy2 0.123 0.755 0.057
Dy3 0.245 0.877 0.443
Dy4 0.291 0.514 0.883
Dy5 0.436 0.986 0.815
Dy6 0.486 0.709 0.617
Dy7 0.514 0.291 0.383
Dy8 0.564 0.014 0.185
Dy9 0.709 0.486 0.117
Dy10 0.755 0.123 0.557
Dy11 0.877 0.245 0.943
Dy12 0.986 0.436 0.315
Y1 0.202 0.305 0.548
Y2 0.305 0.202 0.048
Y3 0.695 0.798 0.952
Y4 0.798 0.695 0.452
Tm1 0.411 0.589 0.250
Tm2 0.589 0.411 0.750
```

Record 10
Below is crystalline PmDy2Y6Tm at its relaxed geometry, with properties calculated at the PBE level.

Cell and atoms, written as CIF:
```
data_PmDy2Y6Tm
_symmetry_space_group_name_H-M 'P 1'
_symmetry_Int_Tables_number 1
_cell_length_a 8.784
_cell_length_b 8.784
_cell_length_c 9.594
_cell_angle_alpha 94.01
_cell_angle_beta 94.01
_cell_angle_gamma 117.52
loop_
_symmetry_equiv_pos_as_xyz
'x,y,z'
loop_
_atom_site_label
_atom_site_fract_x
_atom_site_fract_y
_atom_site_fract_z
Pm1 0.024 0.976 0.750
Pm2 0.976 0.024 0.250
Dy1 0.199 0.301 0.547
Dy2 0.301 0.199 0.047
Dy3 0.699 0.801 0.953
Dy4 0.801 0.699 0.453
Y1 0.014 0.567 0.684
Y2 0.123 0.752 0.057
Y3 0.248 0.877 0.443
Y4 0.293 0.508 0.883
Y5 0.433 0.986 0.816
Y6 0.492 0.707 0.617
Y7 0.508 0.293 0.383
Y8 0.567 0.014 0.184
Y9 0.707 0.492 0.117
Y10 0.752 0.123 0.557
Y11 0.877 0.248 0.943
Y12 0.986 0.433 0.316
Tm1 0.410 0.590 0.250
Tm2 0.590 0.410 0.750
```

Record 11
Below is crystalline Pm6Dy3Y2Tm at its relaxed geometry, with properties calculated at the PBE level.

Cell and atoms, written as CIF:
```
data_Pm6Dy3Y2Tm
_symmetry_space_group_name_H-M 'P 1'
_symmetry_Int_Tables_number 1
_cell_length_a 6.244
_cell_length_b 6.244
_cell_length_c 11.834
_cell_angle_alpha 95.03
_cell_angle_beta 95.03
_cell_angle_gamma 119.99
loop_
_symmetry_equiv_pos_as_xyz
'x,y,z'
loop_
_atom_site_label
_atom_site_fract_x
_atom_site_fract_y
_atom_site_fract_z
Pm1 0.084 0.416 0.750
Pm2 0.249 0.249 0.250
Pm3 0.416 0.084 0.750
Pm4 0.584 0.916 0.250
Pm5 0.751 0.751 0.750
Pm6 0.916 0.584 0.250
Dy1 0.167 0.833 0.000
Dy2 0.500 0.500 0.000
Dy3 0.833 0.167 0.000
Y1 0.333 0.667 0.500
Y2 0.667 0.333 0.500
Tm1 0.000 0.000 0.500
```

Record 12
Below is crystalline Pm2DyY2Tm at its relaxed geometry, with properties calculated at the PBE level.

Cell and atoms, written as CIF:
```
data_Pm2DyY2Tm
_symmetry_space_group_name_H-M 'P 1'
_symmetry_Int_Tables_number 1
_cell_length_a 7.061
_cell_length_b 9.759
_cell_length_c 5.640
_cell_angle_alpha 90.00
_cell_angle_beta 90.00
_cell_angle_gamma 90.00
loop_
_symmetry_equiv_pos_as_xyz
'x,y,z'
loop_
_atom_site_label
_atom_site_fract_x
_atom_site_fract_y
_atom_site_fract_z
Pm1 0.249 0.166 0.000
Pm2 0.251 0.666 0.500
Pm3 0.749 0.334 0.500
Pm4 0.751 0.834 0.000
Dy1 0.000 0.500 0.000
Dy2 0.500 0.000 0.500
Y1 0.250 0.333 0.500
Y2 0.250 0.833 0.000
Y3 0.750 0.167 0.000
Y4 0.750 0.667 0.500
Tm1 0.000 0.000 0.500
Tm2 0.500 0.500 0.000
```

Energy of formation across the listed records, respectively: 0.093; 0.235; 0.008; 0.013; 0.023; 0.014; 0.024; 0.023; 0.124; 0.117; 0.012; 0.069 eV per atom.